No. 1
The following is a PBE calculation of crystalline Cu2SbBr at its relaxed geometry, from the Alexandria database. Values from VASP.

```
&SYSTEM
  ibrav = 0, nat = 4, ntyp = 3
/
ATOMIC_SPECIES
Br 79.90 Br.upf
Cu 63.55 Cu.upf
Sb 121.76 Sb.upf
ATOMIC_POSITIONS crystal
Br 0.0000 0.5000 0.5000
Cu 0.0000 0.0000 0.0000
Cu 0.5000 0.5000 0.0000
Sb 0.5000 0.0000 0.5000
CELL_PARAMETERS angstrom
3.9803 0.0000 0.0000
0.0000 7.2086 0.0000
0.0000 0.0000 3.3393
```

Computed properties:
space-group type: Pmmm, No. 47
final energy: -0.117 hartree per atom
formation energy from raw total energies: 308 meV per atom

***

No. 2
The following is a PBE calculation of crystalline CuSbBr2 at its relaxed geometry, from the Alexandria database. Values from VASP.

```
&SYSTEM
  ibrav = 0, nat = 4, ntyp = 3
/
ATOMIC_SPECIES
Br 79.90 Br.upf
Cu 63.55 Cu.upf
Sb 121.76 Sb.upf
ATOMIC_POSITIONS crystal
Br 0.0000 0.0184 0.0516
Br 0.0000 0.4816 0.4484
Cu 0.5000 0.2500 0.2500
Sb 0.5000 0.7500 0.7500
CELL_PARAMETERS angstrom
-1.9337 -0.8519 2.7595
-1.4265 -2.6546 -1.8192
7.5982 -3.0721 4.3761
```

Computed properties:
space-group type: P2/m, No. 10
final energy: -0.106 hartree per atom
formation energy from raw total energies: 9 meV per atom

***

No. 3
The following is a PBE calculation of crystalline CuSbBr at its relaxed geometry, from the Alexandria database. Values from VASP.

```
&SYSTEM
  ibrav = 0, nat = 3, ntyp = 3
/
ATOMIC_SPECIES
Br 79.90 Br.upf
Cu 63.55 Cu.upf
Sb 121.76 Sb.upf
ATOMIC_POSITIONS crystal
Br 0.5000 0.5000 0.5000
Cu 0.7500 0.7500 0.7500
Sb 0.0000 0.0000 0.0000
CELL_PARAMETERS angstrom
-4.5060 1.3501 0.2634
-3.0726 -1.3933 -3.2885
-3.3412 -3.1417 1.0782
```

Computed properties:
space-group type: F-43m, No. 216
final energy: -0.104 hartree per atom
formation energy from raw total energies: 473 meV per atom

***

No. 4
The following is a PBE calculation of crystalline CuSbBr2 at its relaxed geometry, from the Alexandria database. Values from VASP.

```
&SYSTEM
  ibrav = 0, nat = 8, ntyp = 3
/
ATOMIC_SPECIES
Sb 121.76 Sb.upf
Cu 63.55 Cu.upf
Br 79.90 Br.upf
ATOMIC_POSITIONS crystal
Sb 0.0000 0.0000 0.0000
Sb 0.7500 0.2500 0.5000
Cu 0.5000 0.5000 0.0000
Cu 0.2500 0.7500 0.5000
Br 0.5712 0.1250 0.2500
Br 0.1788 0.6250 0.2500
Br 0.3750 0.4288 0.7500
Br 0.8750 0.8212 0.7500
CELL_PARAMETERS angstrom
7.5144 0.0000 0.0000
0.0000 7.5144 0.0000
3.7572 3.7572 3.5399
```

Computed properties:
space-group type: I-42d, No. 122
final energy: -0.101 hartree per atom
formation energy from raw total energies: 151 meV per atom

***

No. 5
The following is a PBE calculation of crystalline CuSbBr at its relaxed geometry, from the Alexandria database. Values from VASP.

```
&SYSTEM
  ibrav = 0, nat = 3, ntyp = 3
/
ATOMIC_SPECIES
Br 79.90 Br.upf
Cu 63.55 Cu.upf
Sb 121.76 Sb.upf
ATOMIC_POSITIONS crystal
Br 0.9555 0.9555 0.0445
Cu 0.3398 0.3398 0.6602
Sb 0.7047 0.7047 0.2953
CELL_PARAMETERS angstrom
7.6956 -0.0318 0.0203
6.4277 3.3505 -0.0235
1.2680 -1.4609 3.0509
```

Computed properties:
space-group type: Fmm2, No. 42
final energy: -0.120 hartree per atom
formation energy from raw total energies: 40 meV per atom

***

No. 6
The following is a PBE calculation of crystalline CuSb4Br at its relaxed geometry, from the Alexandria database. Values from VASP.

```
&SYSTEM
  ibrav = 0, nat = 6, ntyp = 3
/
ATOMIC_SPECIES
Cu 63.55 Cu.upf
Sb 121.76 Sb.upf
Br 79.90 Br.upf
ATOMIC_POSITIONS crystal
Cu 0.0000 0.0000 0.0000
Sb 0.8493 0.3836 0.3836
Sb 0.3836 0.3836 0.8493
Sb 0.3836 0.8493 0.3836
Sb 0.3836 0.3836 0.3836
Br 0.7500 0.7500 0.7500
CELL_PARAMETERS angstrom
3.8900 -4.1603 2.6702
-1.8050 -5.9831 0.7171
2.6423 -4.5216 -3.4847
```

Computed properties:
space-group type: F-43m, No. 216
final energy: -0.120 hartree per atom
formation energy from raw total energies: 455 meV per atom

***

No. 7
The following is a PBE calculation of crystalline CuSbBr2 at its relaxed geometry, from the Alexandria database. Values from VASP.

```
&SYSTEM
  ibrav = 0, nat = 4, ntyp = 3
/
ATOMIC_SPECIES
Br 79.90 Br.upf
Cu 63.55 Cu.upf
Sb 121.76 Sb.upf
ATOMIC_POSITIONS crystal
Br 0.0000 0.0000 0.9370
Br 0.5000 0.5000 0.3498
Cu 0.0000 0.0000 0.5171
Sb 0.5000 0.5000 0.6961
CELL_PARAMETERS angstrom
-1.4755 3.1188 -0.0877
-1.7985 -0.7709 2.8430
6.3610 3.1465 4.8773
```

Computed properties:
space-group type: P4mm, No. 99
final energy: -0.106 hartree per atom
formation energy from raw total energies: -3 meV per atom

***

No. 8
The following is a PBE calculation of crystalline Cu2SbBr at its relaxed geometry, from the Alexandria database. Values from VASP.

```
&SYSTEM
  ibrav = 0, nat = 4, ntyp = 3
/
ATOMIC_SPECIES
Br 79.90 Br.upf
Cu 63.55 Cu.upf
Sb 121.76 Sb.upf
ATOMIC_POSITIONS crystal
Br 0.5000 0.5000 0.8640
Cu 0.0000 0.0000 0.0491
Cu 0.5000 0.5000 0.1970
Sb 0.0000 0.0000 0.3899
CELL_PARAMETERS angstrom
3.3940 0.0000 0.0000
0.0000 3.3925 0.0000
0.0000 0.0000 7.6224
```

Computed properties:
space-group type: P4mm, No. 99
final energy: -0.129 hartree per atom
formation energy from raw total energies: -8 meV per atom

***

No. 9
The following is a PBE calculation of crystalline Cu2SbBr at its relaxed geometry, from the Alexandria database. Values from VASP.

```
&SYSTEM
  ibrav = 0, nat = 4, ntyp = 3
/
ATOMIC_SPECIES
Br 79.90 Br.upf
Cu 63.55 Cu.upf
Sb 121.76 Sb.upf
ATOMIC_POSITIONS crystal
Br 0.1922 0.1922 0.1872
Cu 0.0536 0.0536 0.8898
Cu 0.7634 0.7634 0.8007
Sb 0.4907 0.4907 0.6223
CELL_PARAMETERS angstrom
-4.2483 -0.5972 0.9909
-1.9868 -3.7096 1.2955
-0.0894 0.5399 6.1800
```

Computed properties:
space-group type: Cm, No. 8
final energy: -0.127 hartree per atom
formation energy from raw total energies: 35 meV per atom

***

No. 10
The following is a PBE calculation of crystalline CuSb2Br8 at its relaxed geometry, from the Alexandria database. Values from VASP.

```
&SYSTEM
  ibrav = 0, nat = 11, ntyp = 3
/
ATOMIC_SPECIES
Cu 63.55 Cu.upf
Sb 121.76 Sb.upf
Br 79.90 Br.upf
ATOMIC_POSITIONS crystal
Cu 0.0000 0.0000 0.0000
Sb 0.6076 0.1231 0.1231
Sb 0.3924 0.8769 0.8769
Br 0.1592 0.1366 0.6557
Br 0.1592 0.6557 0.1366
Br 0.8408 0.8634 0.3443
Br 0.4790 0.6647 0.6647
Br 0.8408 0.3443 0.8634
Br 0.3088 0.1070 0.1070
Br 0.6912 0.8930 0.8930
Br 0.5210 0.3353 0.3353
CELL_PARAMETERS angstrom
-1.0154 8.9165 -3.2873
-7.0258 1.9277 1.8594
-1.6945 4.0899 6.0775
```

Computed properties:
space-group type: C2/m, No. 12
final energy: -0.102 hartree per atom
formation energy from raw total energies: -425 meV per atom

***

No. 11
The following is a PBE calculation of crystalline CuSbBr2 at its relaxed geometry, from the Alexandria database. Values from VASP.

```
&SYSTEM
  ibrav = 0, nat = 4, ntyp = 3
/
ATOMIC_SPECIES
Br 79.90 Br.upf
Cu 63.55 Cu.upf
Sb 121.76 Sb.upf
ATOMIC_POSITIONS crystal
Br 0.0000 0.0000 0.0000
Br 0.5000 0.5000 0.0000
Cu 0.5000 0.0000 0.5000
Sb 0.0000 0.5000 0.5000
CELL_PARAMETERS angstrom
6.6307 0.5001 -0.0704
1.2918 6.5228 -0.0704
1.6841 1.4929 2.5766
```

Computed properties:
space-group type: C2/m, No. 12
final energy: -0.100 hartree per atom
formation energy from raw total energies: 166 meV per atom

***

No. 12
The following is a PBE calculation of crystalline Cu2SbBr at its relaxed geometry, from the Alexandria database. Values from VASP.

```
&SYSTEM
  ibrav = 0, nat = 4, ntyp = 3
/
ATOMIC_SPECIES
Br 79.90 Br.upf
Cu 63.55 Cu.upf
Sb 121.76 Sb.upf
ATOMIC_POSITIONS crystal
Br 0.2453 0.7453 0.5000
Cu 0.9348 0.9348 0.0000
Cu 0.8212 0.3212 0.5000
Sb 0.4987 0.4987 0.0000
CELL_PARAMETERS angstrom
7.7773 0.1139 0.0130
6.1011 4.8245 -0.0130
-6.9987 -2.3020 2.4937
```

Computed properties:
space-group type: Imm2, No. 44
final energy: -0.124 hartree per atom
formation energy from raw total energies: 111 meV per atom

***

No. 13
The following is a PBE calculation of crystalline CuSbBr2 at its relaxed geometry, from the Alexandria database. Values from VASP.

```
&SYSTEM
  ibrav = 0, nat = 4, ntyp = 3
/
ATOMIC_SPECIES
Br 79.90 Br.upf
Cu 63.55 Cu.upf
Sb 121.76 Sb.upf
ATOMIC_POSITIONS crystal
Br 0.0000 0.0264 0.9976
Br 0.5000 0.2776 0.3744
Cu 0.0000 0.5790 0.4306
Sb 0.5000 0.6170 0.6974
CELL_PARAMETERS angstrom
3.5375 0.0000 0.0000
0.0000 5.2344 0.2285
0.0000 3.7472 5.8927
```

Computed properties:
space-group type: Pm, No. 6
final energy: -0.112 hartree per atom
formation energy from raw total energies: -154 meV per atom

***

No. 14
The following is a PBE calculation of crystalline CuSbBr2 at its relaxed geometry, from the Alexandria database. Values from VASP.

```
&SYSTEM
  ibrav = 0, nat = 4, ntyp = 3
/
ATOMIC_SPECIES
Br 79.90 Br.upf
Cu 63.55 Cu.upf
Sb 121.76 Sb.upf
ATOMIC_POSITIONS crystal
Br 0.8880 0.8880 0.0768
Br 0.6120 0.6120 0.4232
Cu 0.2500 0.2500 0.2500
Sb 0.7500 0.7500 0.7500
CELL_PARAMETERS angstrom
-4.3486 0.5830 -5.7775
-2.4381 -2.2869 -6.4386
-3.9031 -2.8924 1.2765
```

Computed properties:
space-group type: C2/m, No. 12
final energy: -0.108 hartree per atom
formation energy from raw total energies: -56 meV per atom

***

No. 15
The following is a PBE calculation of crystalline Cu4SbBr at its relaxed geometry, from the Alexandria database. Values from VASP.

```
&SYSTEM
  ibrav = 0, nat = 6, ntyp = 3
/
ATOMIC_SPECIES
Cu 63.55 Cu.upf
Sb 121.76 Sb.upf
Br 79.90 Br.upf
ATOMIC_POSITIONS crystal
Cu 0.6245 0.6245 0.1265
Cu 0.6245 0.1265 0.6245
Cu 0.6245 0.6245 0.6245
Cu 0.1265 0.6245 0.6245
Sb 0.2500 0.2500 0.2500
Br 0.0000 0.0000 0.0000
CELL_PARAMETERS angstrom
5.1326 -0.0500 -0.6605
2.4772 -4.4919 -0.6851
2.0023 -1.1714 -4.6261
```

Computed properties:
space-group type: F-43m, No. 216
final energy: -0.125 hartree per atom
formation energy from raw total energies: 303 meV per atom

***

Number 1: calculated volume 24.0 Å³ per atom. Number 2: calculated volume 26.9 Å³ per atom. Number 3: calculated volume 24.6 Å³ per atom. Number 4: calculated volume 25.0 Å³ per atom. Number 5: calculated volume 26.2 Å³ per atom. Number 6: calculated volume 29.3 Å³ per atom. Number 7: calculated volume 25.6 Å³ per atom. Number 8: calculated volume 21.9 Å³ per atom. Number 9: calculated volume 22.9 Å³ per atom. Number 10: calculated volume 39.3 Å³ per atom. Number 11: calculated volume 27.8 Å³ per atom. Number 12: calculated volume 23.0 Å³ per atom. Number 13: calculated volume 26.5 Å³ per atom. Number 14: calculated volume 30.2 Å³ per atom. Number 15: calculated volume 16.3 Å³ per atom.